No. 1
Material: Li2ScGe
Method: DFT, PBE
State: optimized geometry

Properties
* E_tot: -3.90 eV per atom
* ΔE_f: -0.2057 eV per atom
* SG: I-42d (122)
* total moment: 0.00 μB/f.u.
* theoretical density: 2.86 g/cm³

```
data_Li2ScGe
_chemical_formula_sum 'Li4 Sc2 Ge2'
_cell_length_a 3.904
_cell_length_b 3.904
_cell_length_c 10.406
_cell_angle_alpha 79.19
_cell_angle_beta 79.19
_cell_angle_gamma 90.00
_symmetry_space_group_name_H-M 'P 1'
_symmetry_Int_Tables_number 1
loop_
_symmetry_equiv_pos_as_xyz
'x,y,z'
loop_
_atom_site_label
_atom_site_fract_x
_atom_site_fract_y
_atom_site_fract_z
Li1 0.375 0.923 0.750
Li2 0.077 0.125 0.250
Li3 0.875 0.327 0.750
Ge1 0.750 0.250 0.500
Sc1 0.500 0.500 0.000
Sc2 0.250 0.750 0.500
Ge2 0.000 0.000 0.000
Li4 0.673 0.625 0.250
```

No. 2
Material: Li3Sc3GeSe8
Method: DFT, PBE
State: optimized geometry

Properties
* E_tot: -5.09 eV per atom
* raw formation energy: -19.179 eV/f.u.
* SG: R-3m (166)
* total moment: 0.00 μB/f.u.
* theoretical density: 4.34 g/cm³

```
data_Li3Sc3GeSe8
_chemical_formula_sum 'Li3 Sc3 Ge1 Se8'
_cell_length_a 7.667
_cell_length_b 7.666
_cell_length_c 7.843
_cell_angle_alpha 119.29
_cell_angle_beta 90.00
_cell_angle_gamma 120.00
_symmetry_space_group_name_H-M 'P 1'
_symmetry_Int_Tables_number 1
loop_
_symmetry_equiv_pos_as_xyz
'x,y,z'
loop_
_atom_site_label
_atom_site_fract_x
_atom_site_fract_y
_atom_site_fract_z
Sc1 0.500 0.000 0.500
Li1 0.500 0.500 0.000
Se1 0.239 0.479 0.735
Li2 0.000 0.000 0.000
Se2 0.243 0.004 0.265
Se3 0.761 0.521 0.265
Se4 0.239 0.996 0.735
Sc2 0.000 0.500 0.500
Ge1 0.000 0.000 0.500
Se5 0.253 0.505 0.258
Sc3 0.500 0.500 0.500
Li3 0.000 0.500 0.000
Se6 0.747 0.495 0.742
Se7 0.761 0.004 0.265
Se8 0.757 0.996 0.735
```

No. 3
Material: Li2ScGeSe4
Method: DFT, PBE
State: optimized geometry

Properties
* E_tot: -4.66 eV per atom
* raw formation energy: -8.577 eV/f.u.
* SG: P2/m (10)
* total moment: 0.00 μB/f.u.
* theoretical density: 4.50 g/cm³

```
data_Li2ScGeSe4
_chemical_formula_sum 'Li2 Sc1 Ge1 Se4'
_cell_length_a 3.821
_cell_length_b 6.787
_cell_length_c 6.751
_cell_angle_alpha 70.64
_cell_angle_beta 90.00
_cell_angle_gamma 90.00
_symmetry_space_group_name_H-M 'P 1'
_symmetry_Int_Tables_number 1
loop_
_symmetry_equiv_pos_as_xyz
'x,y,z'
loop_
_atom_site_label
_atom_site_fract_x
_atom_site_fract_y
_atom_site_fract_z
Li1 0.500 0.000 0.500
Li2 0.000 0.000 0.000
Ge1 0.500 0.500 0.000
Sc1 0.000 0.500 0.500
Se1 0.000 0.742 0.752
Se2 0.000 0.258 0.248
Se3 0.500 0.741 0.249
Se4 0.500 0.259 0.751
```

No. 4
Material: Li2ScGeTe4
Method: DFT, PBE
State: optimized geometry

Properties
* E_tot: -4.17 eV per atom
* raw formation energy: -6.050 eV/f.u.
* SG: P2/m (10)
* total moment: 0.00 μB/f.u.
* theoretical density: 5.14 g/cm³

```
data_Li2ScGeTe4
_chemical_formula_sum 'Li2 Sc1 Ge1 Te4'
_cell_length_a 4.035
_cell_length_b 7.358
_cell_length_c 7.367
_cell_angle_alpha 108.38
_cell_angle_beta 90.00
_cell_angle_gamma 90.00
_symmetry_space_group_name_H-M 'P 1'
_symmetry_Int_Tables_number 1
loop_
_symmetry_equiv_pos_as_xyz
'x,y,z'
loop_
_atom_site_label
_atom_site_fract_x
_atom_site_fract_y
_atom_site_fract_z
Te1 0.500 0.250 0.242
Te2 0.000 0.251 0.757
Te3 0.000 0.749 0.243
Li1 0.500 0.000 0.500
Li2 0.000 0.500 0.500
Ge1 0.000 0.000 0.000
Te4 0.500 0.750 0.758
Sc1 0.500 0.500 0.000
```

No. 5
Material: LiSc2TiGe
Method: DFT, PBE
State: optimized geometry

Properties
* E_tot: -4.66 eV per atom
* ΔE_f: 0.7600 eV per atom
* SG: P4/mmm (123)
* total moment: 0.76 μB/f.u.
* theoretical density: 3.23 g/cm³

```
data_LiSc2TiGe
_chemical_formula_sum 'Li1 Sc2 Ti1 Ge1'
_cell_length_a 4.866
_cell_length_b 4.726
_cell_length_c 4.866
_cell_angle_alpha 90.00
_cell_angle_beta 90.00
_cell_angle_gamma 90.00
_symmetry_space_group_name_H-M 'P 1'
_symmetry_Int_Tables_number 1
loop_
_symmetry_equiv_pos_as_xyz
'x,y,z'
loop_
_atom_site_label
_atom_site_fract_x
_atom_site_fract_y
_atom_site_fract_z
Li1 0.000 0.500 0.000
Ti1 0.000 0.000 0.000
Ge1 0.500 0.500 0.500
Sc1 0.500 0.000 0.000
Sc2 0.000 0.000 0.500
```

No. 6
Material: LiScTl2Ge
Method: DFT, PBE
State: optimized geometry

Properties
* E_tot: -3.26 eV per atom
* ΔE_f: 0.2611 eV per atom
* SG: P4/mmm (123)
* total moment: 0.00 μB/f.u.
* theoretical density: 5.71 g/cm³

```
data_LiScTl2Ge
_chemical_formula_sum 'Li1 Sc1 Tl2 Ge1'
_cell_length_a 5.496
_cell_length_b 5.131
_cell_length_c 5.496
_cell_angle_alpha 90.00
_cell_angle_beta 90.00
_cell_angle_gamma 90.00
_symmetry_space_group_name_H-M 'P 1'
_symmetry_Int_Tables_number 1
loop_
_symmetry_equiv_pos_as_xyz
'x,y,z'
loop_
_atom_site_label
_atom_site_fract_x
_atom_site_fract_y
_atom_site_fract_z
Tl1 0.000 0.000 0.500
Ge1 0.000 0.000 0.000
Sc1 0.000 0.500 0.000
Tl2 0.500 0.000 0.000
Li1 0.500 0.500 0.500
```

No. 7
Material: LiTmScGe
Method: DFT, PBE
State: optimized geometry

Properties
* E_tot: -4.74 eV per atom
* ΔE_f: -0.4094 eV per atom
* SG: F-43m (216)
* total moment: 0.00 μB/f.u.
* theoretical density: 6.13 g/cm³

```
data_LiTmScGe
_chemical_formula_sum 'Li1 Tm1 Sc1 Ge1'
_cell_length_a 4.826
_cell_length_b 4.826
_cell_length_c 4.826
_cell_angle_alpha 60.00
_cell_angle_beta 60.00
_cell_angle_gamma 60.00
_symmetry_space_group_name_H-M 'P 1'
_symmetry_Int_Tables_number 1
loop_
_symmetry_equiv_pos_as_xyz
'x,y,z'
loop_
_atom_site_label
_atom_site_fract_x
_atom_site_fract_y
_atom_site_fract_z
Tm1 0.000 0.000 0.000
Ge1 0.750 0.750 0.750
Li1 0.250 0.250 0.250
Sc1 0.500 0.500 0.500
```

No. 8
Material: Li2ScZnGe
Method: DFT, PBE
State: optimized geometry

Properties
* E_tot: -2.23 eV per atom
* ΔE_f: 0.9851 eV per atom
* SG: P4/mmm (123)
* total moment: 0.00 μB/f.u.
* theoretical density: 2.47 g/cm³

```
data_Li2ScZnGe
_chemical_formula_sum 'Li2 Sc1 Zn1 Ge1'
_cell_length_a 5.146
_cell_length_b 4.988
_cell_length_c 5.146
_cell_angle_alpha 90.00
_cell_angle_beta 90.00
_cell_angle_gamma 90.00
_symmetry_space_group_name_H-M 'P 1'
_symmetry_Int_Tables_number 1
loop_
_symmetry_equiv_pos_as_xyz
'x,y,z'
loop_
_atom_site_label
_atom_site_fract_x
_atom_site_fract_y
_atom_site_fract_z
Sc1 0.000 0.000 0.000
Ge1 0.500 0.500 0.500
Li1 0.000 0.000 0.500
Zn1 0.000 0.500 0.000
Li2 0.500 0.000 0.000
```

No. 9
Material: Li2ScZn2Ge2
Method: DFT, PBE
State: optimized geometry

Properties
* E_tot: -3.56 eV per atom
* ΔE_f: -0.4235 eV per atom
* SG: R-3m (166)
* total moment: 0.00 μB/f.u.
* theoretical density: 4.91 g/cm³

```
data_Li2ScZn2Ge2
_chemical_formula_sum 'Li2 Sc1 Zn2 Ge2'
_cell_length_a 4.174
_cell_length_b 4.174
_cell_length_c 7.881
_cell_angle_alpha 74.64
_cell_angle_beta 74.64
_cell_angle_gamma 60.00
_symmetry_space_group_name_H-M 'P 1'
_symmetry_Int_Tables_number 1
loop_
_symmetry_equiv_pos_as_xyz
'x,y,z'
loop_
_atom_site_label
_atom_site_fract_x
_atom_site_fract_y
_atom_site_fract_z
Ge1 0.264 0.264 0.208
Zn1 0.564 0.564 0.308
Li1 0.143 0.143 0.572
Sc1 0.000 0.000 0.000
Li2 0.857 0.857 0.428
Ge2 0.736 0.736 0.792
Zn2 0.436 0.436 0.692
```

No. 10
Material: Li2GeSe3
Method: DFT, PBE
State: optimized geometry

Properties
* E_tot: -3.94 eV per atom
* raw formation energy: -4.730 eV/f.u.
* SG: Cc (9)
* total moment: 0.00 μB/f.u.
* ΔE to the lowest computed polymorph: 0 meV/atom
* theoretical density: 3.66 g/cm³

```
data_Li2GeSe3
_chemical_formula_sum 'Li4 Ge2 Se6'
_cell_length_a 7.233
_cell_length_b 7.233
_cell_length_c 6.850
_cell_angle_alpha 96.99
_cell_angle_beta 96.99
_cell_angle_gamma 122.18
_symmetry_space_group_name_H-M 'P 1'
_symmetry_Int_Tables_number 1
loop_
_symmetry_equiv_pos_as_xyz
'x,y,z'
loop_
_atom_site_label
_atom_site_fract_x
_atom_site_fract_y
_atom_site_fract_z
Se1 0.729 0.566 0.408
Se2 0.566 0.729 0.908
Se3 0.056 0.205 0.359
Se4 0.902 0.370 0.886
Li1 0.256 0.760 0.009
Li2 0.440 0.625 0.522
Ge1 0.909 0.076 0.988
Li3 0.625 0.440 0.022
Li4 0.760 0.256 0.509
Ge2 0.076 0.909 0.488
Se5 0.205 0.056 0.859
Se6 0.370 0.902 0.386
```

No. 11
Material: Li2GeSe
Method: DFT, PBE
State: optimized geometry

Properties
* E_tot: -3.36 eV per atom
* raw formation energy: -1.501 eV/f.u.
* SG: Fm-3m (225)
* total moment: 0.00 μB/f.u.
* ΔE to the lowest computed polymorph: 1 meV/atom
* theoretical density: 3.96 g/cm³

```
data_Li2GeSe
_chemical_formula_sum 'Li2 Ge1 Se1'
_cell_length_a 4.612
_cell_length_b 4.612
_cell_length_c 4.612
_cell_angle_alpha 60.00
_cell_angle_beta 60.00
_cell_angle_gamma 60.00
_symmetry_space_group_name_H-M 'P 1'
_symmetry_Int_Tables_number 1
loop_
_symmetry_equiv_pos_as_xyz
'x,y,z'
loop_
_atom_site_label
_atom_site_fract_x
_atom_site_fract_y
_atom_site_fract_z
Ge1 0.000 0.000 0.000
Li1 0.750 0.750 0.750
Se1 0.500 0.500 0.500
Li2 0.250 0.250 0.250
```

No. 12
Material: Li4GeSe4
Method: DFT, PBE
State: optimized geometry

Properties
* E_tot: -3.84 eV per atom
* raw formation energy: -8.333 eV/f.u.
* SG: Cmcm (63)
* total moment: 0.00 μB/f.u.
* ΔE to the lowest computed polymorph: 0 meV/atom
* theoretical density: 3.41 g/cm³

```
data_Li4GeSe4
_chemical_formula_sum 'Li8 Ge2 Se8'
_cell_length_a 7.006
_cell_length_b 7.006
_cell_length_c 8.274
_cell_angle_alpha 90.00
_cell_angle_beta 90.00
_cell_angle_gamma 92.99
_symmetry_space_group_name_H-M 'P 1'
_symmetry_Int_Tables_number 1
loop_
_symmetry_equiv_pos_as_xyz
'x,y,z'
loop_
_atom_site_label
_atom_site_fract_x
_atom_site_fract_y
_atom_site_fract_z
Li1 0.169 0.831 0.000
Li2 0.417 0.111 0.250
Se1 0.801 0.801 0.010
Li3 0.831 0.169 0.500
Se2 0.272 0.670 0.750
Li4 0.831 0.169 0.000
Se3 0.199 0.199 0.990
Li5 0.889 0.583 0.750
Ge1 0.340 0.340 0.750
Li6 0.583 0.889 0.750
Li7 0.169 0.831 0.500
Li8 0.111 0.417 0.250
Se4 0.670 0.272 0.750
Se5 0.330 0.728 0.250
Se6 0.728 0.330 0.250
Ge2 0.660 0.660 0.250
Se7 0.199 0.199 0.510
Se8 0.801 0.801 0.490
```

Q: Look up the E_tot of the sixth one.
A: -3.26 eV per atom

Repeat the seventh record exactly.
Material: LiTmScGe
Method: DFT, PBE
State: optimized geometry

Properties
* E_tot: -4.74 eV per atom
* ΔE_f: -0.4094 eV per atom
* SG: F-43m (216)
* total moment: 0.00 μB/f.u.
* theoretical density: 6.13 g/cm³

```
data_LiTmScGe
_chemical_formula_sum 'Li1 Tm1 Sc1 Ge1'
_cell_length_a 4.826
_cell_length_b 4.826
_cell_length_c 4.826
_cell_angle_alpha 60.00
_cell_angle_beta 60.00
_cell_angle_gamma 60.00
_symmetry_space_group_name_H-M 'P 1'
_symmetry_Int_Tables_number 1
loop_
_symmetry_equiv_pos_as_xyz
'x,y,z'
loop_
_atom_site_label
_atom_site_fract_x
_atom_site_fract_y
_atom_site_fract_z
Tm1 0.000 0.000 0.000
Ge1 0.750 0.750 0.750
Li1 0.250 0.250 0.250
Sc1 0.500 0.500 0.500
```